Below is a geometry-optimized TbTm2AlPd4 structure, with properties calculated at the PBE level.

Unit cell a=4.785 b=4.785 c=8.379 alpha=73.41 beta=73.41 gamma=60.00
Fractional coordinates of all 8 atoms:
Pd 0.388 0.388 0.835
Pd 0.127 0.127 0.619
Pd 0.612 0.612 0.165
Pd 0.873 0.873 0.381
Tb 0.000 0.000 0.000
Tm 0.755 0.755 0.734
Tm 0.245 0.245 0.266
Al 0.500 0.500 0.500

Space group: No. 166



Below is a geometry-optimized NaPuH2 structure, with properties calculated at the PBE level.

Unit cell a=3.043 b=3.043 c=6.814 alpha=90.00 beta=90.00 gamma=90.00
Fractional coordinates of all 4 atoms:
H 0.000 0.000 0.164
H 0.000 0.000 0.836
Pu 0.500 0.500 0.000
Na 0.500 0.500 0.500

Space group: No. 123



Below is a geometry-optimized LaBNF2 structure, with properties calculated at the PBE level.

Unit cell a=4.661 b=4.661 c=4.462 alpha=90.00 beta=90.00 gamma=90.00
Fractional coordinates of all 5 atoms:
La 0.000 0.000 0.000
B 0.500 0.500 0.500
F 0.000 0.500 0.000
F 0.500 0.000 0.000
N 0.000 0.000 0.500

Space group: No. 123
Formation energy without anion corrections, meV per atom: -640



Below is a geometry-optimized Pu3ScPb4 structure, with properties calculated at the PBE level.

Unit cell a=3.246 b=5.854 c=11.565 alpha=90.00 beta=90.00 gamma=90.00
Fractional coordinates of all 8 atoms:
Pb 0.000 0.500 0.760
Pb 0.000 0.000 0.500
Pb 0.000 0.500 0.240
Pb 0.000 0.000 0.000
Pu 0.500 0.500 0.500
Pu 0.500 0.000 0.250
Pu 0.500 0.000 0.750
Sc 0.500 0.500 0.000

Space group: No. 47



Below is a geometry-optimized SiTcAs structure, with properties calculated at the PBE level.

Unit cell a=4.634 b=4.634 c=2.525 alpha=90.00 beta=90.00 gamma=120.00
Fractional coordinates of all 3 atoms:
Si 0.333 0.667 0.667
As 0.000 0.000 0.666
Tc 0.667 0.333 0.667

Space group: No. 187
Formation energy without anion corrections, meV per atom: 198



Below is a geometry-optimized Sm2Ga4GePd3 structure, with properties calculated at the PBE level.

Unit cell a=4.265 b=4.265 c=10.619 alpha=90.00 beta=90.00 gamma=90.00
Fractional coordinates of all 10 atoms:
Pd 0.000 0.000 0.500
Pd 0.000 0.500 0.130
Pd 0.500 0.000 0.870
Ga 0.500 0.500 0.000
Ga 0.500 0.000 0.640
Ga 0.000 0.500 0.360
Ga 0.000 0.000 0.000
Sm 0.500 0.000 0.245
Sm 0.000 0.500 0.755
Ge 0.500 0.500 0.500

Space group: No. 115



Below is a geometry-optimized GaGe2S2 structure, with properties calculated at the PBE level.

Unit cell a=5.029 b=5.029 c=5.588 alpha=63.25 beta=63.25 gamma=90.00
Fractional coordinates of all 5 atoms:
Ga 0.000 0.000 0.000
Ge 0.338 0.338 0.324
Ge 0.662 0.662 0.676
S 0.250 0.750 0.500
S 0.750 0.250 0.500

Space group: No. 139
Formation energy without anion corrections, meV per atom: 20



Below is a geometry-optimized NaHoSeO4 structure, with properties calculated at the PBE level.

Unit cell a=7.067 b=6.516 c=6.516 alpha=61.54 beta=57.16 gamma=57.16
Fractional coordinates of all 14 atoms:
Na 0.500 0.000 0.500
Na 0.000 0.000 0.500
O 0.725 0.731 0.818
O 0.210 0.747 0.247
O 0.275 0.682 0.769
O 0.790 0.253 0.753
O 0.795 0.747 0.247
O 0.725 0.318 0.231
O 0.275 0.269 0.182
O 0.205 0.253 0.753
Se 0.603 0.647 0.147
Se 0.397 0.353 0.853
Ho 0.000 0.000 0.000
Ho 0.000 0.500 0.500

Space group: No. 74
Formation energy without anion corrections, meV per atom: -1857



Below is a geometry-optimized La2ThCo6 structure, with properties calculated at the PBE level.

Unit cell a=4.154 b=6.848 c=6.848 alpha=120.00 beta=90.00 gamma=90.00
Fractional coordinates of all 9 atoms:
Co 0.500 0.331 0.331
Co 0.500 0.669 0.000
Co 0.500 0.669 0.669
Co 0.500 0.331 0.000
Co 0.500 0.000 0.669
Co 0.500 0.000 0.331
Th 0.000 0.000 0.000
La 0.000 0.333 0.667
La 0.000 0.667 0.333

Space group: No. 191



Below is a geometry-optimized Mn2Zn8Fe structure, with properties calculated at the PBE level.

Unit cell a=9.556 b=5.234 c=7.580 alpha=110.20 beta=147.38 gamma=90.00
Fractional coordinates of all 11 atoms:
Mn 0.178 0.770 0.539
Mn 0.822 0.230 0.461
Zn 0.374 0.294 0.088
Zn 0.833 0.728 0.456
Zn 0.272 0.632 0.264
Zn 0.626 0.207 0.912
Zn 0.167 0.272 0.544
Zn 0.374 0.793 0.088
Zn 0.728 0.368 0.736
Zn 0.626 0.706 0.912
Fe 0.000 0.000 0.000

Space group: No. 12



Below is a geometry-optimized Sm2Co2CuNi5 structure, with properties calculated at the PBE level.

Unit cell a=3.830 b=8.724 c=8.724 alpha=90.00 beta=90.00 gamma=90.00
Fractional coordinates of all 20 atoms:
Ni 0.500 0.055 0.794
Ni 0.500 0.794 0.945
Ni 0.500 0.445 0.294
Ni 0.500 0.206 0.055
Ni 0.500 0.500 0.000
Ni 0.500 0.294 0.555
Ni 0.500 0.706 0.445
Ni 0.500 0.945 0.206
Ni 0.500 0.000 0.500
Ni 0.500 0.555 0.706
Co 0.000 0.391 0.109
Co 0.000 0.109 0.609
Co 0.000 0.891 0.391
Co 0.000 0.609 0.891
Sm 0.000 0.313 0.813
Sm 0.000 0.813 0.687
Sm 0.000 0.187 0.313
Sm 0.000 0.687 0.187
Cu 0.000 0.000 0.000
Cu 0.000 0.500 0.500

Space group: No. 127



Below is a geometry-optimized Tb3NdTh4 structure, with properties calculated at the PBE level.

Unit cell a=3.457 b=9.386 c=9.717 alpha=118.52 beta=100.25 gamma=90.00
Fractional coordinates of all 8 atoms:
Tb 0.000 0.500 0.000
Tb 0.183 0.181 0.367
Tb 0.817 0.819 0.633
Th 0.648 0.838 0.296
Th 0.347 0.536 0.693
Th 0.352 0.162 0.704
Th 0.653 0.464 0.307
Nd 0.500 0.000 0.000

Space group: No. 12



What did we get for M_tot? Answer: 0.00; 6.08; 0.00; 16.86; 0.00; 0.00; 0.00; 0.00; 3.21; 8.07; 3.27; 0.00 μB/f.u., in the order shown.
What did we get for energy? Answer: -5.634; -5.587; -5.374; -8.166; -6.615; -4.896; -4.083; -6.031; -6.767; -3.245; -5.727; -5.726 eV/atom, in the order shown.